# LaMn3P PBE optimized geometry
data_LaMn3P
_chemical_formula_sum 'La1 Mn3 P1'
_symmetry_space_group_name_H-M 'P m -3 m'
_symmetry_Int_Tables_number 221
_symmetry_space_group_name_Hall '-P 4 2 3'
_cell_length_a 4.4978
_cell_length_b 4.4978
_cell_length_c 4.4978
_cell_angle_alpha 90.00
_cell_angle_beta 90.00
_cell_angle_gamma 90.00
loop_
_atom_site_label
_atom_site_type_symbol
_atom_site_fract_x
_atom_site_fract_y
_atom_site_fract_z
La1 La 0.0000 0.0000 0.0000
Mn1 Mn 0.0000 0.0000 0.5000
P1 P 0.5000 0.5000 0.5000
# Calculated volume = 90.99 Å³ per cell
# Offset from the most stable computed form = 2134 meV/atom
# ΔE_f = 2.1859 eV/atom
# Crystal system = cubic


# YHgBr2 PBE optimized geometry
data_YHgBr2
_chemical_formula_sum 'Y3 Hg3 Br6'
_symmetry_space_group_name_H-M 'R -3 m'
_symmetry_Int_Tables_number 166
_symmetry_space_group_name_Hall '-R 3 2"'
_cell_length_a 3.8671
_cell_length_b 3.8671
_cell_length_c 35.0914
_cell_angle_alpha 90.00
_cell_angle_beta 90.00
_cell_angle_gamma 120.00
loop_
_atom_site_label
_atom_site_type_symbol
_atom_site_fract_x
_atom_site_fract_y
_atom_site_fract_z
Y1 Y 0.0000 0.0000 0.0000
Hg1 Hg 0.0000 0.0000 0.5000
Br1 Br 0.0000 0.0000 0.3854
# Calculated volume = 454.46 Å³ per cell
# Offset from the most stable computed form = 0 meV/atom
# Crystal system = trigonal
# Formation energy from raw total energies = -1.183 eV/atom